Entry from Alexandria: a relaxed structure of La4PrNd7 (PBE-GGA).

## Properties
- Formation energy: 0.0174 eV/atom
- DFT total energy: -57.7 eV for the cell shown
- Fermi-level density of states: 18.97 states/eV/cell
- Theoretical density: 6.5 g cm⁻³
- SG: No. 2
- Crystal system: triclinic

abc: 6.4760 7.4338 9.2750
angles: 89.91 76.57 89.81
With the nearest neighbours (Å) after each atom.
Element x y z (fractional)
La 0.2188 0.2519 0.3325  8 Nd 3.69-3.74, 1 Pr 3.69, 3 La 3.74
La 0.2799 0.9986 0.6686  8 Nd 3.68-3.75, 4 La 3.71-3.74
La 0.7201 0.0014 0.3314  8 Nd 3.68-3.75, 4 La 3.71-3.74
La 0.7812 0.7481 0.6675  8 Nd 3.69-3.74, 1 Pr 3.69, 3 La 3.74
Pr 0.5000 0.5000 0.0000  10 Nd 3.66-3.74, 2 La 3.69
Nd 0.0006 0.7500 0.0006  7 Nd 3.66-3.73, 3 La 3.69, 2 Pr 3.72-3.74
Nd 0.2223 0.7501 0.3291  5 Nd 3.66-3.76, 1 Pr 3.67, 6 La 3.70-3.75
Nd 0.2797 0.4996 0.6702  1 Pr 3.66, 6 Nd 3.67-3.76, 5 La 3.71-3.74
Nd 0.5000 0.0000 0.0000  6 Nd 3.67-3.73, 4 La 3.68-3.70, 2 Pr 3.72
Nd 0.7203 0.5004 0.3298  1 Pr 3.66, 6 Nd 3.67-3.76, 5 La 3.71-3.74
Nd 0.7777 0.2499 0.6709  5 Nd 3.66-3.76, 1 Pr 3.67, 6 La 3.70-3.75
Nd 0.9994 0.2500 0.9994  7 Nd 3.66-3.73, 3 La 3.69, 2 Pr 3.72-3.74

Entry from Alexandria: a relaxed structure of Sc3Mn2 (PBE-GGA).

## Properties
- Formation energy: 0.1969 eV/atom
- DFT total energy: -36.3 eV for the cell shown
- Fermi-level density of states: 8.42 states/eV/cell
- Theoretical density: 4.0 g cm⁻³
- SG: No. 164
- Crystal system: trigonal

abc: 4.5118 4.5118 5.7267
angles: 90.00 90.00 120.00
With the nearest neighbours (Å) after each atom.
Element x y z (fractional)
Sc 0.0000 0.0000 0.0000  6 Mn 2.70
Sc 0.3333 0.6667 0.3425  4 Mn 2.65-2.90
Sc 0.6667 0.3333 0.6575  4 Mn 2.65-2.90
Mn 0.3333 0.6667 0.8791  7 Sc 2.65-2.90, 3 Mn 2.95
Mn 0.6667 0.3333 0.1209  7 Sc 2.65-2.90, 3 Mn 2.95

Entry from Alexandria: a relaxed structure of Rb2LiBrO (PBE-GGA).

## Properties
- DFT total energy: -17.7 eV for the cell shown
- Fermi-level density of states: 0.00 states/eV/cell
- Theoretical density: 3.4 g cm⁻³
- SG: No. 123
- Crystal system: tetragonal

abc: 5.8938 5.8938 3.8108
angles: 90.00 90.00 90.00
With the nearest neighbours (Å) after each atom.
Element x y z (fractional)
Rb 0.0000 0.5000 0.0000  2 O 2.95
Rb 0.5000 0.0000 0.0000  2 O 2.95
Li 0.0000 0.0000 0.5000  2 O 1.91
Br 0.5000 0.5000 0.5000  8 Rb 3.51, 2 Br 3.81
O 0.0000 0.0000 0.0000  2 Li 1.91

Entry from Alexandria: a relaxed structure of LaAl3B4O12 (PBE-GGA).

## Properties
- DFT total energy: -158.8 eV for the cell shown
- Fermi-level density of states: 0.00 states/eV/cell
- Theoretical density: 4.0 g cm⁻³
- SG: No. 155
- Crystal system: trigonal

abc: 5.9850 5.9850 5.9850
angles: 104.05 104.05 104.05
With the nearest neighbours (Å) after each atom.
Element x y z (fractional)
La 0.0000 0.0000 0.0000  6 O 2.43
Al 0.0000 0.5560 0.4440  6 O 1.86-1.98
Al 0.4440 0.0000 0.5560  6 O 1.86-1.98
Al 0.5560 0.4440 0.0000  6 O 1.86-1.98
B 0.0592 0.5000 0.9408  3 O 1.37-1.40
B 0.5000 0.5000 0.5000  3 O 1.40
B 0.5000 0.9408 0.0592  3 O 1.37-1.40
B 0.9408 0.0592 0.5000  3 O 1.37-1.40
O 0.0267 0.6177 0.7716  1 B 1.37
O 0.0896 0.9104 0.5000  1 B 1.40
O 0.2284 0.3823 0.9733  1 B 1.37
O 0.3515 0.6485 0.5000  1 B 1.40
O 0.3823 0.9733 0.2284  1 B 1.37
O 0.5000 0.0896 0.9104  1 B 1.40
O 0.5000 0.3515 0.6485  1 B 1.40
O 0.6177 0.7716 0.0267  1 B 1.37
O 0.6485 0.5000 0.3515  1 B 1.40
O 0.7716 0.0267 0.6177  1 B 1.37
O 0.9104 0.5000 0.0896  1 B 1.40
O 0.9733 0.2284 0.3823  1 B 1.37